[1]
VASP calculation (GGA-PBE) on an optimized crystal structure of Tb2Sm6Zn. Values from VASP.

Values from the calculation:
- total DFT energy (no corrections) (eV per atom) = -4.30
- symmetry = No. 58

Quantum ESPRESSO input file:
```
&SYSTEM
  ibrav = 0, nat = 18, ntyp = 3
/
ATOMIC_SPECIES
Tb 158.93 Tb.upf
Sm 150.36 Sm.upf
Zn 65.41 Zn.upf
CELL_PARAMETERS angstrom
-4.2304 -1.2256 -3.1883
6.3484 -2.2074 -7.5748
0.4190 -9.7428 3.1902
ATOMIC_POSITIONS angstrom
Tb 2.1812 -8.1749 0.2471
Tb 3.2230 -9.4480 -5.2781
Tb -0.6861 -3.7277 -2.2948
Tb 0.3557 -5.0008 -7.8200
Sm 0.2821 -1.9058 0.3572
Sm 0.3656 -8.1293 -6.6307
Sm 0.1208 -11.2263 -5.1158
Sm -1.0515 -6.8905 -0.5925
Sm -0.5296 -10.2542 0.0075
Sm 1.3939 -4.8237 -4.6299
Sm 2.2548 -11.2699 -7.9301
Sm 2.1713 -5.0464 -0.9422
Sm 2.4161 -1.9494 -2.4571
Sm 3.5884 -6.2852 -6.9804
Sm 3.0665 -2.9215 -7.5804
Sm 1.1430 -8.3520 -2.9430
Zn 1.0590 -1.7165 -5.3816
Zn 0.2095 -4.8714 1.5951
```

=====

[2]
VASP calculation (GGA-PBE) on an optimized crystal structure of Ca2TaIr. Values from VASP.

Values from the calculation:
- offset from the most stable computed form (meV per atom) = 508
- symmetry = No. 65

Quantum ESPRESSO input file:
```
&SYSTEM
  ibrav = 0, nat = 4, ntyp = 3
/
ATOMIC_SPECIES
Ca 40.08 Ca.upf
Ir 192.22 Ir.upf
Ta 180.95 Ta.upf
CELL_PARAMETERS angstrom
5.6777 0.0001 -0.0139
-2.9538 4.8488 -0.0139
0.0092 0.0164 3.0456
ATOMIC_POSITIONS angstrom
Ca 0.0000 0.0000 0.0000
Ca 1.3619 2.4245 -0.0139
Ir 2.8434 0.0082 1.5159
Ta -1.4723 2.4326 1.5159
```

=====

[3]
VASP calculation (GGA-PBE) on an optimized crystal structure of Ti2InHPd. Values from VASP.

Values from the calculation:
- offset from the most stable computed form (meV per atom) = 0
- symmetry = No. 123

Quantum ESPRESSO input file:
```
&SYSTEM
  ibrav = 0, nat = 5, ntyp = 4
/
ATOMIC_SPECIES
H 1.01 H.upf
Ti 47.87 Ti.upf
Pd 106.42 Pd.upf
In 114.82 In.upf
CELL_PARAMETERS angstrom
-3.2650 1.2460 2.1191
0.5689 -3.0445 2.6666
2.4729 2.5077 2.3355
ATOMIC_POSITIONS angstrom
H 0.0000 0.0000 0.0000
Ti 0.2844 -1.5223 1.3333
Ti -1.6325 0.6230 1.0596
Pd 1.2364 1.2538 1.1678
In -0.1116 0.3546 3.5606
```

=====

no.,total magnetization (μB/cell)
1,0.00
2,0.00
3,0.00